Density functional theory data (GGA-PBE) for NdCo4Ge12 after structural relaxation.

- calculated volume (Å³ per cell) = 297
- D(E_F) (states/eV per cell) = 14.6
- SG = Im-3 (204)
- total energy (eV/cell) = -90.826
- crystal system = cubic

extended XYZ file:
```
17
Lattice="-4.202 4.202 4.202 4.202 -4.202 4.202 4.202 4.202 -4.202" Properties=species:S:1:pos:R:3 pbc="T T T"
Nd 0.000 0.000 0.000
Co 2.101 2.101 -2.101
Co 2.101 -2.101 2.101
Co -2.101 2.101 2.101
Co 2.101 2.101 2.101
Ge 2.890 1.402 0.000
Ge 5.515 1.402 0.000
Ge 4.202 -1.312 2.800
Ge 2.800 4.202 -1.312
Ge 1.402 0.000 2.890
Ge 4.202 1.312 2.800
Ge 0.000 2.890 1.402
Ge 2.800 4.202 1.312
Ge 1.402 0.000 5.515
Ge 0.000 5.515 1.402
Ge -1.312 2.800 4.202
Ge 1.312 2.800 4.202
```

***

Density functional theory data (GGA-PBE) for Nd3Co2Ge4 after structural relaxation.

- calculated volume (Å³ per cell) = 190
- D(E_F) (states/eV per cell) = 8.9
- SG = C2/m (12)
- energy above the most stable polymorph in this dataset (meV/atom) = 47
- total energy (eV/cell) = -52.688
- crystal system = monoclinic

extended XYZ file:
```
9
Lattice="5.581 -2.071 0.000 5.581 2.071 0.000 -1.538 0.000 8.214" Properties=species:S:1:pos:R:3 pbc="T T T"
Nd 0.000 0.000 0.000
Nd 3.258 0.000 2.819
Nd 6.366 0.000 5.395
Co 3.309 0.000 5.942
Co 6.315 0.000 2.272
Ge 0.097 0.000 3.098
Ge 1.684 0.000 7.578
Ge 7.940 0.000 0.635
Ge 9.527 0.000 5.116
```

***

Density functional theory data (GGA-PBE) for Nd3Co2Ge4 after structural relaxation.

- calculated volume (Å³ per cell) = 184
- D(E_F) (states/eV per cell) = 5.8
- SG = C2/m (12)
- energy above the most stable polymorph in this dataset (meV/atom) = 0
- total energy (eV/cell) = -53.113
- crystal system = monoclinic

extended XYZ file:
```
9
Lattice="5.578 -2.103 0.000 5.578 2.103 0.000 -2.548 0.000 7.825" Properties=species:S:1:pos:R:3 pbc="T T T"
Nd 0.000 0.000 0.000
Nd 3.489 0.000 2.422
Nd 5.118 0.000 5.403
Co 1.782 0.000 4.922
Co 6.825 0.000 2.903
Ge 0.203 0.000 3.109
Ge 0.868 0.000 7.178
Ge 7.739 0.000 0.647
Ge 8.404 0.000 4.716
```

***

Density functional theory data (GGA-PBE) for NdCo2Ge7 after structural relaxation.

- calculated volume (Å³ per cell) = 204
- D(E_F) (states/eV per cell) = 3.1
- SG = Cmmm (65)
- total energy (eV/cell) = -51.668
- crystal system = orthorhombic

extended XYZ file:
```
10
Lattice="3.948 -6.330 0.000 3.948 6.330 0.000 0.000 0.000 4.082" Properties=species:S:1:pos:R:3 pbc="T T T"
Nd 0.000 0.000 0.000
Co 3.948 2.227 2.041
Co 3.948 -2.227 2.041
Ge 1.580 1.888 2.041
Ge 3.948 3.302 0.000
Ge 1.580 -1.888 2.041
Ge 3.948 0.000 2.041
Ge 6.316 1.888 2.041
Ge 3.948 -3.302 0.000
Ge 6.316 -1.888 2.041
```

***

Density functional theory data (GGA-PBE) for NdCo2Ge2 after structural relaxation.

- calculated volume (Å³ per cell) = 83
- D(E_F) (states/eV per cell) = 3.5
- SG = I4/mmm (139)
- total energy (eV/cell) = -31.180
- crystal system = tetragonal

extended XYZ file:
```
5
Lattice="-2.008 2.008 5.162 2.008 -2.008 5.162 2.008 2.008 -5.162" Properties=species:S:1:pos:R:3 pbc="T T T"
Nd 0.000 0.000 0.000
Co 2.008 0.000 2.581
Co 0.000 2.008 2.581
Ge 0.000 0.000 3.802
Ge 0.000 0.000 6.523
```

***

Density functional theory data (GGA-PBE) for Nd3CoGe after structural relaxation.

- calculated volume (Å³ per cell) = 265
- D(E_F) (states/eV per cell) = 6.8
- SG = P-1 (2)
- total energy (eV/cell) = -55.432
- crystal system = triclinic

extended XYZ file:
```
10
Lattice="4.263 0.000 0.000 2.128 7.416 0.000 0.003 0.012 8.367" Properties=species:S:1:pos:R:3 pbc="T T T"
Nd 1.066 3.008 1.482
Nd 1.069 0.081 6.709
Nd 3.193 5.438 3.728
Nd 3.201 1.990 4.639
Nd 5.325 7.347 1.658
Nd 5.329 4.420 6.884
Co 1.069 0.773 3.506
Co 5.326 6.655 4.861
Ge 3.195 5.325 0.603
Ge 3.200 2.103 7.764
```

***

Density functional theory data (GGA-PBE) for Nd2Co3Ge4 after structural relaxation.

- calculated volume (Å³ per cell) = 158
- D(E_F) (states/eV per cell) = 5.8
- SG = Fmmm (69)
- total energy (eV/cell) = -53.320
- crystal system = orthorhombic

extended XYZ file:
```
9
Lattice="0.000 4.789 6.105 2.697 0.000 6.105 2.697 4.789 0.000" Properties=species:S:1:pos:R:3 pbc="T T T"
Nd 2.697 4.789 1.634
Nd 2.697 4.789 10.575
Co 1.348 2.394 0.000
Co 1.348 2.394 6.105
Co 2.697 4.789 6.105
Ge 2.697 3.134 4.278
Ge 2.697 3.134 7.931
Ge 2.697 6.443 4.278
Ge 2.697 6.443 7.931
```

***

Density functional theory data (GGA-PBE) for NdCo2Ge4 after structural relaxation.

- calculated volume (Å³ per cell) = 462
- D(E_F) (states/eV per cell) = 12.9
- SG = Pnma (62)
- total energy (eV/cell) = -161.398
- crystal system = orthorhombic

extended XYZ file:
```
28
Lattice="17.283 0.000 0.000 0.000 4.105 0.000 0.000 0.000 6.507" Properties=species:S:1:pos:R:3 pbc="T T T"
Nd 2.424 1.026 0.103
Nd 6.217 3.079 3.356
Nd 11.066 1.026 3.151
Nd 14.859 3.079 6.404
Co 0.574 3.079 4.846
Co 3.612 1.026 3.244
Co 5.029 3.079 6.498
Co 8.067 1.026 1.593
Co 9.216 3.079 4.914
Co 12.253 1.026 0.009
Co 13.671 3.079 3.263
Co 16.708 1.026 1.660
Ge 0.463 3.079 0.917
Ge 1.165 1.026 3.381
Ge 3.091 3.079 4.540
Ge 3.472 3.079 1.919
Ge 5.169 1.026 5.173
Ge 5.550 1.026 1.287
Ge 7.476 3.079 0.128
Ge 8.178 1.026 4.170
Ge 9.105 3.079 2.337
Ge 9.807 1.026 6.379
Ge 11.733 3.079 5.220
Ge 12.114 3.079 1.334
Ge 13.811 1.026 4.588
Ge 14.192 1.026 1.966
Ge 16.118 3.079 3.126
Ge 16.819 1.026 5.590
```

***

Density functional theory data (GGA-PBE) for NdCoGe2 after structural relaxation.

- calculated volume (Å³ per cell) = 303
- D(E_F) (states/eV per cell) = 10.6
- SG = Pnma (62)
- total energy (eV/cell) = -94.599
- crystal system = orthorhombic

extended XYZ file:
```
16
Lattice="6.969 0.000 0.000 0.000 4.201 0.000 0.000 0.000 10.359" Properties=species:S:1:pos:R:3 pbc="T T T"
Nd 1.201 1.050 1.315
Nd 2.283 3.151 6.494
Nd 4.685 1.050 3.865
Nd 5.768 3.151 9.044
Co 0.075 3.151 3.805
Co 3.409 1.050 8.985
Co 3.559 3.151 1.374
Co 6.894 1.050 6.554
Ge 1.025 1.050 4.472
Ge 1.041 1.050 8.571
Ge 2.444 3.151 3.391
Ge 2.459 3.151 9.652
Ge 4.509 1.050 0.707
Ge 4.525 1.050 6.968
Ge 5.928 3.151 1.788
Ge 5.944 3.151 5.887
```

***

Density functional theory data (GGA-PBE) for NdCoGe2 after structural relaxation.

- calculated volume (Å³ per cell) = 150
- D(E_F) (states/eV per cell) = 5.0
- SG = P2_1/m (11)
- total energy (eV/cell) = -47.538
- crystal system = monoclinic

extended XYZ file:
```
8
Lattice="4.244 0.000 0.000 0.000 4.234 0.000 -2.110 0.000 8.353" Properties=species:S:1:pos:R:3 pbc="T T T"
Nd 0.003 1.058 1.816
Nd 2.131 3.175 6.537
Co 0.003 1.058 5.305
Co 2.131 3.175 3.049
Ge 0.009 3.175 4.180
Ge 0.006 1.058 7.597
Ge 2.128 3.175 0.757
Ge 2.125 1.058 4.173
```

***

Density functional theory data (GGA-PBE) for NdCo6Ge12 after structural relaxation.

- calculated volume (Å³ per cell) = 297
- D(E_F) (states/eV per cell) = 14.9
- SG = R-3m (166)
- total energy (eV/cell) = -104.847
- crystal system = trigonal

extended XYZ file:
```
19
Lattice="5.559 3.209 2.770 -5.559 3.209 2.770 0.000 -6.419 2.770" Properties=species:S:1:pos:R:3 pbc="T T T"
Nd 0.000 0.000 0.000
Co 0.000 -2.728 3.538
Co -2.363 1.364 3.538
Co -2.363 -1.364 4.774
Co 2.363 1.364 3.538
Co 2.363 -1.364 4.774
Co 0.000 2.728 4.774
Ge -2.131 -3.691 4.156
Ge -4.262 0.000 4.156
Ge -1.431 -0.826 2.644
Ge 1.431 -0.826 2.644
Ge 0.000 1.652 2.644
Ge 2.131 -3.691 4.156
Ge -2.131 3.691 4.156
Ge 0.000 -1.652 5.667
Ge -1.431 0.826 5.667
Ge 1.431 0.826 5.667
Ge 4.262 0.000 4.156
Ge 2.131 3.691 4.156
```

***

Density functional theory data (GGA-PBE) for Nd2CoGe3 after structural relaxation.

- calculated volume (Å³ per cell) = 256
- D(E_F) (states/eV per cell) = 7.3
- SG = Fmmm (69)
- total energy (eV/cell) = -69.189
- crystal system = orthorhombic

extended XYZ file:
```
12
Lattice="0.000 4.221 7.231 4.194 0.000 7.231 4.194 4.221 0.000" Properties=species:S:1:pos:R:3 pbc="T T T"
Nd 2.097 2.111 3.615
Nd 4.194 2.115 7.231
Nd 4.194 6.328 7.231
Nd 6.291 6.332 10.846
Co 4.194 4.221 2.401
Co 4.194 4.221 12.060
Ge 6.387 4.221 5.970
Ge 4.194 4.221 4.710
Ge 6.387 4.221 8.491
Ge 2.001 4.221 5.970
Ge 4.194 4.221 9.751
Ge 2.001 4.221 8.491
```

***

Density functional theory data (GGA-PBE) for Nd2CoGe6 after structural relaxation.

- calculated volume (Å³ per cell) = 175
- D(E_F) (states/eV per cell) = 3.5
- SG = P-3m1 (164)
- total energy (eV/cell) = -48.195
- crystal system = trigonal

extended XYZ file:
```
9
Lattice="6.141 0.000 0.000 -3.070 5.318 0.000 0.000 0.000 5.343" Properties=species:S:1:pos:R:3 pbc="T T T"
Nd 0.000 3.545 1.724
Nd 3.070 1.773 3.620
Co 0.000 0.000 2.672
Ge 0.000 1.811 4.301
Ge -1.502 4.412 4.301
Ge 1.569 0.906 1.043
Ge 1.502 4.412 4.301
Ge 4.572 0.906 1.043
Ge 3.070 3.507 1.043
```

***

Density functional theory data (GGA-PBE) for Nd6Co2Ge after structural relaxation.

- calculated volume (Å³ per cell) = 482
- D(E_F) (states/eV per cell) = 15.5
- SG = Immm (71)
- total energy (eV/cell) = -98.741
- crystal system = orthorhombic

extended XYZ file:
```
18
Lattice="-4.761 4.970 5.098 4.761 -4.970 5.098 4.761 4.970 -5.098" Properties=species:S:1:pos:R:3 pbc="T T T"
Nd 4.761 3.037 -2.692
Nd 2.677 1.798 0.000
Nd 6.845 1.798 0.000
Nd 1.763 4.970 -1.771
Nd 2.998 0.000 3.327
Nd 0.000 1.933 2.406
Nd 4.761 3.037 2.692
Nd 1.763 4.970 1.771
Nd 2.998 0.000 6.869
Nd -2.084 3.172 5.098
Nd 2.084 3.172 5.098
Nd 0.000 1.933 7.791
Co 4.761 0.000 1.126
Co 0.000 3.412 0.000
Co 0.000 6.527 0.000
Co 0.000 4.970 3.972
Ge 0.000 0.000 0.000
Ge 0.000 0.000 5.098
```

***

Density functional theory data (GGA-PBE) for Nd2Co3Ge5 after structural relaxation.

- calculated volume (Å³ per cell) = 342
- D(E_F) (states/eV per cell) = 12.9
- SG = Ibam (72)
- total energy (eV/cell) = -119.584
- crystal system = orthorhombic

extended XYZ file:
```
20
Lattice="-4.907 5.922 2.946 4.907 -5.922 2.946 4.907 5.922 -2.946" Properties=species:S:1:pos:R:3 pbc="T T T"
Nd 2.316 1.595 0.000
Nd 2.316 -1.595 2.946
Nd 2.591 7.517 0.000
Nd 2.591 4.327 2.946
Co 3.854 -4.297 2.946
Co 4.907 0.000 1.473
Co 3.854 4.297 0.000
Co 1.053 1.625 2.946
Co 0.000 5.922 1.473
Co 1.053 10.219 0.000
Ge 4.907 -2.744 1.473
Ge 6.467 1.147 0.000
Ge 0.000 0.000 1.473
Ge 1.561 4.776 0.000
Ge 4.907 2.744 1.473
Ge 0.000 3.178 1.473
Ge 3.346 1.147 2.946
Ge 0.000 0.000 4.419
Ge -1.561 4.776 2.946
Ge 0.000 8.667 1.473
```

***

Density functional theory data (GGA-PBE) for Nd4Co3Ge8 after structural relaxation.

- calculated volume (Å³ per cell) = 295
- D(E_F) (states/eV per cell) = 9.6
- SG = Pmm2 (25)
- total energy (eV/cell) = -87.229
- crystal system = orthorhombic

extended XYZ file:
```
15
Lattice="4.200 0.000 0.000 0.000 4.255 0.000 0.000 0.000 16.508" Properties=species:S:1:pos:R:3 pbc="T T T"
Nd 0.000 0.000 0.000
Nd 0.000 2.127 8.221
Nd 2.100 0.000 3.529
Nd 2.100 2.127 11.754
Co 0.000 0.000 13.004
Co 0.000 2.127 4.907
Co 2.100 2.127 15.267
Ge 0.000 0.000 5.976
Ge 0.000 0.000 10.701
Ge 0.000 2.127 2.589
Ge 0.000 2.127 14.123
Ge 2.100 0.000 9.087
Ge 2.100 0.000 14.137
Ge 2.100 2.127 1.057
Ge 2.100 2.127 5.964
```

***

Density functional theory data (GGA-PBE) for NdCoGe2 after structural relaxation.

- calculated volume (Å³ per cell) = 75
- D(E_F) (states/eV per cell) = 2.8
- SG = R-3m (166)
- total energy (eV/cell) = -23.480
- crystal system = trigonal

extended XYZ file:
```
4
Lattice="2.031 1.172 5.243 -2.031 1.172 5.243 0.000 -2.345 5.243" Properties=species:S:1:pos:R:3 pbc="T T T"
Nd 0.000 0.000 0.000
Co 0.000 0.000 7.864
Ge 0.000 0.000 3.354
Ge 0.000 0.000 12.374
```

***

Density functional theory data (GGA-PBE) for Nd4CoGe8 after structural relaxation.

- calculated volume (Å³ per cell) = 287
- D(E_F) (states/eV per cell) = 5.9
- SG = Pmm2 (25)
- total energy (eV/cell) = -71.232
- crystal system = orthorhombic

extended XYZ file:
```
13
Lattice="4.086 0.000 0.000 0.000 4.205 0.000 0.000 0.000 16.710" Properties=species:S:1:pos:R:3 pbc="T T T"
Nd 0.000 0.000 0.000
Nd 0.000 2.103 8.316
Nd 2.043 0.000 13.188
Nd 2.043 2.103 4.810
Co 0.000 0.000 3.405
Ge 0.000 0.000 5.757
Ge 0.000 0.000 10.716
Ge 0.000 2.103 2.290
Ge 0.000 2.103 14.121
Ge 2.043 0.000 2.305
Ge 2.043 0.000 7.373
Ge 2.043 2.103 10.788
Ge 2.043 2.103 15.751
```

***

Density functional theory data (GGA-PBE) for Nd8Co2Ge after structural relaxation.

- calculated volume (Å³ per cell) = 323
- D(E_F) (states/eV per cell) = 11.3
- SG = Cm (8)
- total energy (eV/cell) = -57.893
- crystal system = monoclinic

extended XYZ file:
```
11
Lattice="4.181 -6.369 0.000 4.181 6.369 0.000 -2.049 0.000 6.066" Properties=species:S:1:pos:R:3 pbc="T T T"
Nd 0.000 0.000 0.000
Nd 0.009 1.737 3.508
Nd 2.598 2.743 1.117
Nd 0.009 -1.737 3.508
Nd 3.130 1.720 4.787
Nd 2.598 -2.743 1.117
Nd 3.130 -1.720 4.787
Nd 5.273 0.000 2.391
Co 1.531 3.949 4.228
Co 1.531 -3.949 4.228
Ge 2.230 0.000 2.331
```

***

Density functional theory data (GGA-PBE) for NdCo4Ge4 after structural relaxation.

- calculated volume (Å³ per cell) = 272
- D(E_F) (states/eV per cell) = 14.5
- SG = P4_2/nmc (137)
- total energy (eV/cell) = -109.185
- crystal system = tetragonal

extended XYZ file:
```
18
Lattice="5.829 0.000 0.000 0.000 5.829 0.000 0.000 0.000 7.998" Properties=species:S:1:pos:R:3 pbc="T T T"
Nd 1.457 4.372 1.999
Nd 4.372 1.457 5.998
Co 0.144 1.457 1.059
Co 1.457 0.144 5.058
Co 1.457 2.770 5.058
Co 2.770 1.457 1.059
Co 3.059 4.372 6.938
Co 4.372 3.059 2.939
Co 4.372 5.684 2.939
Co 5.684 4.372 6.938
Ge 0.209 1.457 3.412
Ge 1.457 0.209 7.411
Ge 1.457 2.705 7.411
Ge 2.705 1.457 3.412
Ge 3.123 4.372 4.585
Ge 4.372 3.123 0.587
Ge 4.372 5.620 0.587
Ge 5.620 4.372 4.585
```